BeCr2Co: optimized geometry, PBE.

Summary:
Uncorrected energy   -59.80 eV for the cell shown

abc: 4.5893 7.5536 2.4063
angles: 90.00 90.00 90.00
Closest atoms and distances in Å follow each position.
Space group Cmmm (No. 65)
Asymmetric unit:
Be (0.0000, 0.0000, 0.0000) (multiplicity 2)  2 Co 2.29, 2 Be 2.41, 8 Cr 2.52
Cr (0.2500, 0.2500, 0.5000) (multiplicity 4)  4 Cr 2.29-2.41, 4 Co 2.52, 4 Be 2.52
Co (0.0000, 0.5000, 0.0000) (multiplicity 2)  2 Be 2.29, 2 Co 2.41, 8 Cr 2.52



Be2CrCo: optimized geometry, PBE.

Summary:
Polymorph energy (0 for the lowest one)   19 meV/atom

abc: 2.5589 2.5589 5.6472
angles: 90.00 90.00 90.00
Closest atoms and distances in Å follow each position.
Space group P4/mmm (No. 123)
Asymmetric unit:
Be (0.0000, 0.0000, 0.2173) (multiplicity 2)  4 Co 2.19, 4 Cr 2.41
Cr (0.5000, 0.5000, 0.5000) (multiplicity 1)  8 Be 2.41, 4 Cr 2.56
Co (0.5000, 0.5000, 0.0000) (multiplicity 1)  8 Be 2.19



BeCrCo2: optimized geometry, PBE.

Summary:
Uncorrected energy   -55.79 eV for the cell shown

abc: 3.5409 3.5409 6.3885
angles: 90.00 90.00 90.00
Closest atoms and distances in Å follow each position.
Space group I4/mmm (No. 139)
Asymmetric unit:
Be (0.0000, 0.0000, 0.0000) (multiplicity 2)  8 Co 2.38, 4 Cr 2.50
Cr (0.0000, 0.0000, 0.5000) (multiplicity 2)  8 Co 2.38, 4 Be 2.50
Co (0.0000, 0.5000, 0.2500) (multiplicity 4)  4 Cr 2.38, 4 Be 2.38, 4 Co 2.50



Be2CrCo3: optimized geometry, PBE.

Summary:
Uncorrected energy   -39.60 eV for the cell shown

abc: 2.5779 2.5779 8.5041
angles: 90.00 90.00 90.00
Closest atoms and distances in Å follow each position.
Space group P4/mmm (No. 123)
Asymmetric unit:
Be (0.0000, 0.0000, 0.1519) (multiplicity 2)  8 Co 2.23-2.26
Cr (0.0000, 0.0000, 0.5000) (multiplicity 1)  8 Co 2.44, 4 Cr 2.58
Co (0.5000, 0.5000, 0.0000) (multiplicity 1)  8 Be 2.23
Co (0.5000, 0.5000, 0.3094) (multiplicity 2)  4 Be 2.26, 4 Cr 2.44



BeCrCo: optimized geometry, PBE.

Summary:
Polymorph energy (0 for the lowest one)   55 meV/atom

abc: 3.7811 3.7811 2.4081
angles: 90.00 90.00 120.00
Closest atoms and distances in Å follow each position.
Space group P3m1 (No. 156)
Asymmetric unit:
Be (0.0000, 0.0000, 0.0000) (multiplicity 1)  3 Co 2.26, 3 Cr 2.40, 2 Be 2.41
Cr (0.3333, 0.6667, 0.5864) (multiplicity 1)  3 Co 2.34, 6 Be 2.40-2.60, 2 Cr 2.41
Co (0.6667, 0.3333, 0.2390) (multiplicity 1)  3 Be 2.26, 3 Cr 2.34, 2 Co 2.41



BeCr2Co: optimized geometry, PBE.

Summary:
Uncorrected energy   -30.09 eV for the cell shown

abc: 2.9073 3.6701 3.9371
angles: 90.00 90.00 90.00
Closest atoms and distances in Å follow each position.
Space group Pmmm (No. 47)
Asymmetric unit:
Be (0.0000, 0.0000, 0.0000) (multiplicity 1)  4 Co 2.34, 4 Cr 2.45
Cr (0.0000, 0.5000, 0.5000) (multiplicity 1)  4 Cr 2.34, 4 Co 2.45
Cr (0.5000, 0.0000, 0.5000) (multiplicity 1)  4 Cr 2.34, 4 Be 2.45
Co (0.5000, 0.5000, 0.0000) (multiplicity 1)  4 Be 2.34, 4 Cr 2.45



BeCr2Co: optimized geometry, PBE.

Summary:
Uncorrected energy   -111.74 eV for the cell shown

abc: 6.2606 6.2606 4.5479
angles: 90.00 90.00 90.00
Closest atoms and distances in Å follow each position.
Space group I-42d (No. 122)
Asymmetric unit:
Be (0.0000, 0.0000, 0.0000) (multiplicity 4)  2 Co 2.27, 4 Cr 2.33
Cr (0.2406, 0.2500, 0.6250) (multiplicity 8)  2 Co 2.25, 2 Cr 2.28, 2 Be 2.33
Co (0.0000, 0.0000, 0.5000) (multiplicity 4)  4 Cr 2.25, 2 Be 2.27



Be2CrCo: optimized geometry, PBE.

Summary:
Polymorph energy (0 for the lowest one)   159 meV/atom

abc: 4.8682 6.8426 2.3472
angles: 90.00 90.00 90.00
Closest atoms and distances in Å follow each position.
Space group Cmmm (No. 65)
Asymmetric unit:
Be (0.2500, 0.2500, 0.0000) (multiplicity 4)  4 Be 2.35-2.43, 4 Cr 2.41, 4 Co 2.41
Cr (0.0000, 0.0000, 0.5000) (multiplicity 2)  2 Cr 2.35, 8 Be 2.41, 2 Co 2.43
Co (0.0000, 0.5000, 0.5000) (multiplicity 2)  2 Co 2.35, 8 Be 2.41, 2 Cr 2.43



BeCrCo2: optimized geometry, PBE.

Summary:
Uncorrected energy   -82.39 eV for the cell shown

abc: 2.4708 2.4708 22.9465
angles: 90.00 90.00 120.00
Closest atoms and distances in Å follow each position.
Space group R-3m (No. 166, hexagonal axes)
Asymmetric unit:
Be (0.0000, 0.0000, 0.0000) (multiplicity 3)  6 Co 2.31, 6 Be 2.47
Cr (0.0000, 0.0000, 0.5000) (multiplicity 3)  6 Co 2.46, 6 Cr 2.47
Co (0.0000, 0.0000, 0.2540) (multiplicity 6)  3 Be 2.31, 3 Cr 2.46, 6 Co 2.47



BeCrCo3: optimized geometry, PBE.

Summary:
Polymorph energy (0 for the lowest one)   705 meV/atom

abc: 4.1123 4.1123 4.1123
angles: 90.00 90.00 90.00
Closest atoms and distances in Å follow each position.
Space group Pm-3m (No. 221)
Asymmetric unit:
Be (0.0000, 0.0000, 0.0000) (multiplicity 1)  12 Co 2.91
Cr (0.5000, 0.5000, 0.5000) (multiplicity 1)  6 Co 2.06
Co (0.0000, 0.5000, 0.5000) (multiplicity 3)  2 Cr 2.06



BeCr2Co2: optimized geometry, PBE.

Summary:
Polymorph energy (0 for the lowest one)   0 meV/atom

abc: 6.6821 6.6821 2.5130
angles: 90.00 90.00 90.00
Closest atoms and distances in Å follow each position.
Space group P4/mbm (No. 127)
Asymmetric unit:
Be (0.0000, 0.0000, 0.0000) (multiplicity 2)  2 Be 2.51, 4 Co 2.64, 8 Cr 2.78
Cr (0.1713, 0.3287, 0.5000) (multiplicity 4)  6 Co 2.29-2.37, 2 Cr 2.51
Co (0.1261, 0.6261, 0.0000) (multiplicity 4)  6 Cr 2.29-2.37, 3 Co 2.38-2.51



BeCrCo2: optimized geometry, PBE.

Summary:
Uncorrected energy   -55.30 eV for the cell shown

abc: 3.2939 3.2939 7.3906
angles: 90.00 90.00 90.00
Closest atoms and distances in Å follow each position.
Space group I-4m2 (No. 119)
Asymmetric unit:
Be (0.0000, 0.0000, 0.0000) (multiplicity 2)  8 Co 2.33-2.48, 4 Cr 2.48
Cr (0.0000, 0.5000, 0.2500) (multiplicity 2)  8 Co 2.33-2.48, 4 Be 2.48
Co (0.0000, 0.0000, 0.5000) (multiplicity 2)  4 Be 2.33, 4 Cr 2.48, 4 Co 2.48
Co (0.0000, 0.5000, 0.7500) (multiplicity 2)  4 Cr 2.33, 4 Co 2.48, 4 Be 2.48